Crystalline MgInNiMo at its relaxed geometry. Source: the Open Quantum Materials Database, functional PBE.

Calculated values
The energy above the most stable polymorph in this dataset is 0 meV/atom. Its space-group type is F-43m, No. 216.

POSCAR file:
```
MgInNiMo
1.0
0.000 3.198 3.198
3.198 0.000 3.198
3.198 3.198 0.000
Ni Mo In Mg
1 1 1 1
Direct
0.750 0.750 0.750
0.500 0.500 0.500
0.000 0.000 0.000
0.250 0.250 0.250
```